1.
The following is a DFT calculation (GGA-PBE) of a relaxed La2PrY5Th crystal.

Results
DFT total energy: -5.776 eV/atom
DOS(E_F): 51.35 states/eV/cell

Cell and atoms, written as CIF:
```
data_La2PrY5Th
_chemical_formula_sum 'La8 Pr4 Y20 Th4'
_cell_length_a 8.7603
_cell_length_b 8.7603
_cell_length_c 15.7707
_cell_angle_alpha 90.00
_cell_angle_beta 90.00
_cell_angle_gamma 90.00
_space_group_name_H-M_alt 'I 4/m c m'
_space_group_IT_number 140
_space_group_name_Hall '-I 4 2c'
loop_
_atom_site_label
_atom_site_fract_x
_atom_site_fract_y
_atom_site_fract_z
La1 0.1165 0.3835 0.0000
Pr1 0.0000 0.5000 0.2500
Y1 0.0000 0.0000 0.0000
Y2 0.2149 0.2851 0.3595
Th1 0.0000 0.0000 0.2500
```

2.
The following is a DFT calculation (GGA-PBE) of a relaxed La3PrYTh crystal.

Results
DFT total energy: -5.541 eV/atom
DOS(E_F): 20.02 states/eV/cell

Cell and atoms, written as CIF:
```
data_La3PrYTh
_chemical_formula_sum 'La6 Pr2 Y2 Th2'
_cell_length_a 8.2738
_cell_length_b 5.1846
_cell_length_c 10.3881
_cell_angle_alpha 90.00
_cell_angle_beta 108.24
_cell_angle_gamma 90.00
_space_group_name_H-M_alt 'P 1 21/m 1'
_space_group_IT_number 11
_space_group_name_Hall '-P 2yb'
loop_
_atom_site_label
_atom_site_fract_x
_atom_site_fract_y
_atom_site_fract_z
La1 0.1717 0.2500 0.0467
La2 0.1728 0.7500 0.7907
La3 0.1842 0.2500 0.5457
Pr1 0.1828 0.7500 0.2977
Y1 0.4982 0.7500 0.1290
Th1 0.4999 0.2500 0.3788
```

3.
The following is a DFT calculation (GGA-PBE) of a relaxed LaPrY2Th crystal.

Results
DFT total energy: -5.717 eV/atom
DOS(E_F): 14.27 states/eV/cell

Cell and atoms, written as CIF:
```
data_LaPrY2Th
_chemical_formula_sum 'La2 Pr2 Y4 Th2'
_cell_length_a 8.8003
_cell_length_b 6.5748
_cell_length_c 6.4226
_cell_angle_alpha 90.00
_cell_angle_beta 102.34
_cell_angle_gamma 90.00
_space_group_name_H-M_alt 'P 1 2/c 1'
_space_group_IT_number 13
_space_group_name_Hall '-P 2yc'
loop_
_atom_site_label
_atom_site_fract_x
_atom_site_fract_y
_atom_site_fract_z
La1 0.0000 0.0000 0.0000
Pr1 0.5000 0.1645 0.2500
Y1 0.3135 0.3327 0.6844
Th1 0.0000 0.4522 0.2500
```

4.
The following is a DFT calculation (GGA-PBE) of a relaxed La3PrY6Th2 crystal.

Results
DFT total energy: -6.075 eV/atom
DOS(E_F): 32.96 states/eV/cell

Cell and atoms, written as CIF:
```
data_La3PrY6Th2
_chemical_formula_sum 'La6 Pr2 Y12 Th4'
_cell_length_a 6.3049
_cell_length_b 10.9189
_cell_length_c 11.8819
_cell_angle_alpha 90.00
_cell_angle_beta 100.22
_cell_angle_gamma 90.00
_space_group_name_H-M_alt 'C 1 2/m 1'
_space_group_IT_number 12
_space_group_name_Hall '-C 2y'
loop_
_atom_site_label
_atom_site_fract_x
_atom_site_fract_y
_atom_site_fract_z
La1 0.0000 0.0000 0.0000
La2 0.0000 0.3338 0.0000
Pr1 0.0000 0.5000 0.5000
Y1 0.2428 0.0000 0.7439
Y2 0.2497 0.1692 0.2563
Th1 0.0000 0.1665 0.5000
```

5.
The following is a DFT calculation (GGA-PBE) of a relaxed LaPrY3Th crystal.

Results
DFT total energy: -6.058 eV/atom
DOS(E_F): 18.92 states/eV/cell

Cell and atoms, written as CIF:
```
data_LaPrY3Th
_chemical_formula_sum 'La2 Pr2 Y6 Th2'
_cell_length_a 10.8306
_cell_length_b 3.6235
_cell_length_c 10.9223
_cell_angle_alpha 90.00
_cell_angle_beta 109.00
_cell_angle_gamma 90.00
_space_group_name_H-M_alt 'P 1 21/m 1'
_space_group_IT_number 11
_space_group_name_Hall '-P 2yb'
loop_
_atom_site_label
_atom_site_fract_x
_atom_site_fract_y
_atom_site_fract_z
La1 0.2107 0.2500 0.3730
Pr1 0.1312 0.7500 0.6334
Y1 0.0439 0.2500 0.8778
Y2 0.2946 0.7500 0.1166
Y3 0.4603 0.7500 0.6328
Th1 0.3793 0.2500 0.8781
```

6.
The following is a DFT calculation (GGA-PBE) of a relaxed LaPr3YTh crystal.

Results
DFT total energy: -5.493 eV/atom
DOS(E_F): 19.38 states/eV/cell

Cell and atoms, written as CIF:
```
data_LaPr3YTh
_chemical_formula_sum 'La2 Pr6 Y2 Th2'
_cell_length_a 8.2376
_cell_length_b 5.1952
_cell_length_c 10.3499
_cell_angle_alpha 90.00
_cell_angle_beta 108.19
_cell_angle_gamma 90.00
_space_group_name_H-M_alt 'P 1 21/m 1'
_space_group_IT_number 11
_space_group_name_Hall '-P 2yb'
loop_
_atom_site_label
_atom_site_fract_x
_atom_site_fract_y
_atom_site_fract_z
La1 0.1811 0.2500 0.2966
Pr1 0.1725 0.2500 0.7919
Pr2 0.1736 0.7500 0.0450
Pr3 0.1819 0.7500 0.5451
Y1 0.4982 0.7500 0.8711
Th1 0.5001 0.2500 0.6207
```

7.
The following is a DFT calculation (GGA-PBE) of a relaxed La6PrYTh2 crystal.

Results
DFT total energy: -5.432 eV/atom
DOS(E_F): 63.90 states/eV/cell

Cell and atoms, written as CIF:
```
data_La6PrYTh2
_chemical_formula_sum 'La24 Pr4 Y4 Th8'
_cell_length_a 9.1023
_cell_length_b 15.1716
_cell_length_c 10.6628
_cell_angle_alpha 90.00
_cell_angle_beta 103.89
_cell_angle_gamma 90.00
_space_group_name_H-M_alt 'C 1 2/c 1'
_space_group_IT_number 15
_space_group_name_Hall '-C 2yc'
loop_
_atom_site_label
_atom_site_fract_x
_atom_site_fract_y
_atom_site_fract_z
La1 0.0763 0.1816 0.4566
La2 0.0894 0.4011 0.6171
La3 0.2122 0.2266 0.8312
Pr1 0.0000 0.0101 0.7500
Y1 0.0000 0.4025 0.2500
Th1 0.2259 0.0419 0.0433
```

8.
The following is a DFT calculation (GGA-PBE) of a relaxed La2Pr2Y4Th crystal.

Results
DFT total energy: -5.855 eV/atom
DOS(E_F): 26.03 states/eV/cell

Cell and atoms, written as CIF:
```
data_La2Pr2Y4Th
_chemical_formula_sum 'La4 Pr4 Y8 Th2'
_cell_length_a 19.1287
_cell_length_b 3.6657
_cell_length_c 9.7528
_cell_angle_alpha 90.00
_cell_angle_beta 116.14
_cell_angle_gamma 90.00
_space_group_name_H-M_alt 'C 1 2/m 1'
_space_group_IT_number 12
_space_group_name_Hall '-C 2y'
loop_
_atom_site_label
_atom_site_fract_x
_atom_site_fract_y
_atom_site_fract_z
La1 0.1626 0.0000 0.0047
Pr1 0.1472 0.5000 0.6637
Y1 0.0188 0.0000 0.3253
Y2 0.1826 0.5000 0.3353
Th1 0.0000 0.5000 0.0000
```

9.
The following is a DFT calculation (GGA-PBE) of a relaxed La2Pr5YTh crystal.

Results
DFT total energy: -5.167 eV/atom
DOS(E_F): 49.98 states/eV/cell

Cell and atoms, written as CIF:
```
data_La2Pr5YTh
_chemical_formula_sum 'La8 Pr20 Y4 Th4'
_cell_length_a 5.5515
_cell_length_b 22.3501
_cell_length_c 10.5960
_cell_angle_alpha 90.00
_cell_angle_beta 90.00
_cell_angle_gamma 90.00
_space_group_name_H-M_alt 'C m c m'
_space_group_IT_number 63
_space_group_name_Hall '-C 2c 2'
loop_
_atom_site_label
_atom_site_fract_x
_atom_site_fract_y
_atom_site_fract_z
La1 0.0000 0.1133 0.0018
Pr1 0.0000 0.0008 0.7500
Pr2 0.0000 0.2757 0.5594
Pr3 0.0000 0.3710 0.2500
Pr4 0.0000 0.5000 0.0000
Y1 0.0000 0.3972 0.7500
Th1 0.0000 0.2102 0.2500
```

10.
The following is a DFT calculation (GGA-PBE) of a relaxed La5Pr2YTh crystal.

Results
DFT total energy: -5.226 eV/atom
DOS(E_F): 50.71 states/eV/cell

Cell and atoms, written as CIF:
```
data_La5Pr2YTh
_chemical_formula_sum 'La20 Pr8 Y4 Th4'
_cell_length_a 5.5890
_cell_length_b 22.2057
_cell_length_c 10.6257
_cell_angle_alpha 90.00
_cell_angle_beta 90.00
_cell_angle_gamma 90.00
_space_group_name_H-M_alt 'C m c m'
_space_group_IT_number 63
_space_group_name_Hall '-C 2c 2'
loop_
_atom_site_label
_atom_site_fract_x
_atom_site_fract_y
_atom_site_fract_z
La1 0.0000 0.0000 0.0000
La2 0.0000 0.1308 0.2500
La3 0.0000 0.2250 0.5589
La4 0.0000 0.4994 0.2500
Pr1 0.0000 0.3881 0.0017
Y1 0.0000 0.1031 0.7500
Th1 0.0000 0.2902 0.2500
```

11.
The following is a DFT calculation (GGA-PBE) of a relaxed La5PrY2Th crystal.

Results
DFT total energy: -5.401 eV/atom
DOS(E_F): 53.39 states/eV/cell

Cell and atoms, written as CIF:
```
data_La5PrY2Th
_chemical_formula_sum 'La20 Pr4 Y8 Th4'
_cell_length_a 5.5516
_cell_length_b 22.0523
_cell_length_c 10.6807
_cell_angle_alpha 90.00
_cell_angle_beta 90.00
_cell_angle_gamma 90.00
_space_group_name_H-M_alt 'C m c m'
_space_group_IT_number 63
_space_group_name_Hall '-C 2c 2'
loop_
_atom_site_label
_atom_site_fract_x
_atom_site_fract_y
_atom_site_fract_z
La1 0.0000 0.0000 0.0000
La2 0.0000 0.1263 0.2500
La3 0.0000 0.2238 0.5584
La4 0.0000 0.4964 0.7500
Pr1 0.0000 0.1013 0.7500
Y1 0.0000 0.3868 0.0082
Th1 0.0000 0.2833 0.2500
```

12.
The following is a DFT calculation (GGA-PBE) of a relaxed La3Pr2Y6Th crystal.

Results
DFT total energy: -5.859 eV/atom
DOS(E_F): 29.75 states/eV/cell

Cell and atoms, written as CIF:
```
data_La3Pr2Y6Th
_chemical_formula_sum 'La6 Pr4 Y12 Th2'
_cell_length_a 6.3299
_cell_length_b 10.9595
_cell_length_c 11.9135
_cell_angle_alpha 90.00
_cell_angle_beta 100.21
_cell_angle_gamma 90.00
_space_group_name_H-M_alt 'C 1 2/m 1'
_space_group_IT_number 12
_space_group_name_Hall '-C 2y'
loop_
_atom_site_label
_atom_site_fract_x
_atom_site_fract_y
_atom_site_fract_z
La1 0.0000 0.0000 0.0000
La2 0.0000 0.3327 0.0000
Pr1 0.0000 0.1667 0.5000
Y1 0.2469 0.3353 0.7466
Y2 0.2473 0.5000 0.2535
Th1 0.0000 0.5000 0.5000
```

13.
The following is a DFT calculation (GGA-PBE) of a relaxed LaPr6Y2Th crystal.

Results
DFT total energy: -5.258 eV/atom
DOS(E_F): 57.60 states/eV/cell

Cell and atoms, written as CIF:
```
data_LaPr6Y2Th
_chemical_formula_sum 'La4 Pr24 Y8 Th4'
_cell_length_a 9.6337
_cell_length_b 15.2223
_cell_length_c 9.7563
_cell_angle_alpha 90.00
_cell_angle_beta 96.75
_cell_angle_gamma 90.00
_space_group_name_H-M_alt 'C 1 2/c 1'
_space_group_IT_number 15
_space_group_name_Hall '-C 2yc'
loop_
_atom_site_label
_atom_site_fract_x
_atom_site_fract_y
_atom_site_fract_z
La1 0.0000 0.0957 0.2500
Pr1 0.0664 0.3298 0.4377
Pr2 0.0914 0.1100 0.6169
Pr3 0.2031 0.2822 0.8121
Y1 0.2414 0.4553 0.0546
Th1 0.0000 0.4638 0.7500
```

14.
The following is a DFT calculation (GGA-PBE) of a relaxed LaPr3Y6Th2 crystal.

Results
DFT total energy: -6.054 eV/atom
DOS(E_F): 32.64 states/eV/cell

Cell and atoms, written as CIF:
```
data_LaPr3Y6Th2
_chemical_formula_sum 'La2 Pr6 Y12 Th4'
_cell_length_a 6.2988
_cell_length_b 10.9090
_cell_length_c 11.8475
_cell_angle_alpha 90.00
_cell_angle_beta 100.24
_cell_angle_gamma 90.00
_space_group_name_H-M_alt 'C 1 2/m 1'
_space_group_IT_number 12
_space_group_name_Hall '-C 2y'
loop_
_atom_site_label
_atom_site_fract_x
_atom_site_fract_y
_atom_site_fract_z
La1 0.0000 0.0000 0.0000
Pr1 0.0000 0.1663 0.5000
Pr2 0.0000 0.5000 0.5000
Y1 0.2426 0.5000 0.2448
Y2 0.2489 0.3305 0.7552
Th1 0.0000 0.3334 0.0000
```

15.
The following is a DFT calculation (GGA-PBE) of a relaxed La2PrY6Th3 crystal.

Results
DFT total energy: -6.289 eV/atom
DOS(E_F): 35.72 states/eV/cell

Cell and atoms, written as CIF:
```
data_La2PrY6Th3
_chemical_formula_sum 'La4 Pr2 Y12 Th6'
_cell_length_a 6.2713
_cell_length_b 10.8646
_cell_length_c 11.8566
_cell_angle_alpha 90.00
_cell_angle_beta 100.20
_cell_angle_gamma 90.00
_space_group_name_H-M_alt 'C 1 2/m 1'
_space_group_IT_number 12
_space_group_name_Hall '-C 2y'
loop_
_atom_site_label
_atom_site_fract_x
_atom_site_fract_y
_atom_site_fract_z
La1 0.0000 0.1663 0.0000
Pr1 0.0000 0.5000 0.0000
Y1 0.2466 0.5000 0.7413
Y2 0.2476 0.1663 0.7415
Th1 0.0000 0.0000 0.5000
Th2 0.0000 0.3333 0.5000
```

16.
The following is a DFT calculation (GGA-PBE) of a relaxed LaPr5Y2Th crystal.

Results
DFT total energy: -5.310 eV/atom
DOS(E_F): 52.12 states/eV/cell

Cell and atoms, written as CIF:
```
data_LaPr5Y2Th
_chemical_formula_sum 'La4 Pr20 Y8 Th4'
_cell_length_a 5.7999
_cell_length_b 20.5418
_cell_length_c 10.7011
_cell_angle_alpha 90.00
_cell_angle_beta 90.00
_cell_angle_gamma 90.00
_space_group_name_H-M_alt 'C m c 21'
_space_group_IT_number 36
_space_group_name_Hall 'C 2c -2'
loop_
_atom_site_label
_atom_site_fract_x
_atom_site_fract_y
_atom_site_fract_z
La1 0.0000 0.0865 0.0000
Pr1 0.0000 0.0221 0.2939
Pr2 0.0000 0.1138 0.5796
Pr3 0.0000 0.2090 0.2531
Pr4 0.0000 0.2216 0.8674
Pr5 0.0000 0.4835 0.5774
Y1 0.0000 0.3836 0.8720
Y2 0.0000 0.3877 0.2882
Th1 0.0000 0.3003 0.5649
```

17.
The following is a DFT calculation (GGA-PBE) of a relaxed La2PrY6Th2 crystal.

Results
DFT total energy: -6.022 eV/atom
DOS(E_F): 33.25 states/eV/cell

Cell and atoms, written as CIF:
```
data_La2PrY6Th2
_chemical_formula_sum 'La4 Pr2 Y12 Th4'
_cell_length_a 6.3181
_cell_length_b 10.6668
_cell_length_c 11.6515
_cell_angle_alpha 90.00
_cell_angle_beta 97.43
_cell_angle_gamma 90.00
_space_group_name_H-M_alt 'C 1 2/m 1'
_space_group_IT_number 12
_space_group_name_Hall '-C 2y'
loop_
_atom_site_label
_atom_site_fract_x
_atom_site_fract_y
_atom_site_fract_z
La1 0.0000 0.1814 0.0000
Pr1 0.0000 0.0000 0.5000
Y1 0.2243 0.5000 0.7510
Y2 0.2342 0.1694 0.7421
Th1 0.0000 0.3354 0.5000
```

18.
The following is a DFT calculation (GGA-PBE) of a relaxed LaPrYTh crystal.

Results
DFT total energy: -5.693 eV/atom
DOS(E_F): 47.41 states/eV/cell

Cell and atoms, written as CIF:
```
data_LaPrYTh
_chemical_formula_sum 'La4 Pr4 Y4 Th4'
_cell_length_a 8.2059
_cell_length_b 8.2059
_cell_length_c 8.2059
_cell_angle_alpha 90.00
_cell_angle_beta 90.00
_cell_angle_gamma 90.00
_space_group_name_H-M_alt 'F -4 3 m'
_space_group_IT_number 216
_space_group_name_Hall 'F -4 2 3'
loop_
_atom_site_label
_atom_site_fract_x
_atom_site_fract_y
_atom_site_fract_z
La1 0.0000 0.0000 0.0000
Pr1 0.0000 0.0000 0.5000
Y1 0.2500 0.2500 0.2500
Th1 0.2500 0.2500 0.7500
```

19.
The following is a DFT calculation (GGA-PBE) of a relaxed La5Pr2ThZn2 crystal.

Results
DFT total energy: -4.414 eV/atom
DOS(E_F): 29.47 states/eV/cell

Cell and atoms, written as CIF:
```
data_La5Pr2ThZn2
_chemical_formula_sum 'La10 Pr4 Th2 Zn4'
_cell_length_a 13.3021
_cell_length_b 13.3021
_cell_length_c 3.8167
_cell_angle_alpha 90.00
_cell_angle_beta 90.00
_cell_angle_gamma 90.00
_space_group_name_H-M_alt 'P 4/m b m'
_space_group_IT_number 127
_space_group_name_Hall '-P 4 2ab'
loop_
_atom_site_label
_atom_site_fract_x
_atom_site_fract_y
_atom_site_fract_z
La1 0.0000 0.5000 0.0000
La2 0.0519 0.2105 0.0000
Pr1 0.1830 0.6830 0.5000
Th1 0.0000 0.0000 0.5000
Zn1 0.1280 0.3720 0.5000
```